Zr3Si: optimized geometry, PBE.

Summary:
Energy relative to the elements, uncorrected, eV/atom: -0.216
Total magnetic moment, μB per cell: 0.00

a = 5.2227 Å, b = 5.2227 Å, c = 3.1413 Å
α = 90.00°, β = 90.00°, γ = 108.19°
Fractional positions:
Zr 0.5000 0.0000 0.5000
Zr 0.5000 0.5000 0.0000
Si 0.0000 0.0000 0.0000
Zr 0.0000 0.5000 0.5000